Entry 1:
The following is a DFT calculation (PBE) of a relaxed CeDy3Y2Se6 crystal.

The value obtained for the formation energy from raw total energies is -1.770 eV per atom. The total DFT energy (no corrections) is -6.23 eV/atom.

It has space group C2/m (No. 12), with a = 17.8734 Å, b = 4.0824 Å, c = 8.2473 Å, α = 90.00°, β = 103.35° and γ = 90.00°. Symmetry generates all atoms from Ce at (0.0000, 0.0000, 0.0000), Dy at (0.0000, 0.0000, 0.5000), Dy at (0.1645, 0.5000, 0.8342), Y at (0.1643, 0.5000, 0.3288), Se at (0.9999, 0.5000, 0.2583), Se at (0.1677, 0.0000, 0.5837) and Se at (0.1706, 0.0000, 0.0843).


Entry 2:
The following is a DFT calculation (PBE) of a relaxed AcDyZnHg crystal.

The value obtained for the energy relative to the lowest polymorph listed for this composition is 0.052 eV/atom. The value obtained for the formation energy from the elements is -0.3151 eV/atom. The total DFT energy (no corrections) is -2.89 eV/atom.

It has space group F-43m (No. 216), with a = 7.6784 Å, b = 7.6784 Å, c = 7.6784 Å, α = 90.00°, β = 90.00° and γ = 90.00°. Symmetry generates all atoms from Ac at (0.0000, 0.0000, 0.0000), Dy at (0.0000, 0.0000, 0.5000), Zn at (0.2500, 0.2500, 0.7500) and Hg at (0.2500, 0.2500, 0.2500).


Entry 3:
The following is a DFT calculation (PBE) of a relaxed Ti2SiNi crystal.

The value obtained for the formation energy from raw total energies is -0.392 eV per atom. The total DFT energy (no corrections) is -7.14 eV/atom.

It has space group R3m (No. 160, hexagonal axes), with a = 3.8475 Å, b = 3.8475 Å, c = 14.3938 Å, α = 90.00°, β = 90.00° and γ = 120.00°. Symmetry generates all atoms from Ti at (0.0000, 0.0000, 0.0000), Ti at (0.0000, 0.0000, 0.2054), Si at (0.0000, 0.0000, 0.7804) and Ni at (0.0000, 0.0000, 0.4076).


Entry 4:
The following is a DFT calculation (PBE) of a relaxed Cs3Rb5Au2 crystal.

The value obtained for the formation energy from the elements is -0.0983 eV/atom. The total DFT energy (no corrections) is -1.49 eV/atom.

It has space group Ibam (No. 72), with a = 16.8419 Å, b = 18.5418 Å, c = 9.5184 Å, α = 90.00°, β = 90.00° and γ = 90.00°. Symmetry generates all atoms from Cs at (0.0000, 0.0000, 0.2500), Cs at (0.2369, 0.3050, 0.0000), Rb at (0.0000, 0.2513, 0.2500), Rb at (0.0000, 0.5000, 0.2500), Rb at (0.2325, 0.4391, 0.5000) and Au at (0.0874, 0.1426, 0.0000).


Entry 5:
The following is a DFT calculation (PBE) of a relaxed Ge2PbI2 crystal.

The value obtained for the formation energy from raw total energies is 0.245 eV per atom. The value obtained for the energy relative to the lowest polymorph listed for this composition is 0.195 eV/atom. The total DFT energy (no corrections) is -2.96 eV/atom.

It has space group I4/mmm (No. 139), with a = 6.1069 Å, b = 6.1069 Å, c = 8.5518 Å, α = 90.00°, β = 90.00° and γ = 90.00°. Symmetry generates all atoms from Ge at (0.0000, 0.0000, 0.1462), Pb at (0.0000, 0.0000, 0.5000) and I at (0.0000, 0.5000, 0.2500).


Entry 6:
The following is a DFT calculation (PBE) of a relaxed Bi2PtBr2 crystal.

The value obtained for the formation energy from raw total energies is -0.264 eV per atom. The total DFT energy (no corrections) is -3.69 eV/atom.

It has space group C2/m (No. 12), with a = 8.5500 Å, b = 4.9691 Å, c = 8.6202 Å, α = 90.00°, β = 110.18° and γ = 90.00°. Symmetry generates all atoms from Bi at (0.1270, 0.0000, 0.3866), Pt at (0.0000, 0.5000, 0.5000) and Br at (0.1082, 0.5000, 0.8122).


What did the second record say?
The following is a DFT calculation (PBE) of a relaxed AcDyZnHg crystal.

The value obtained for the energy relative to the lowest polymorph listed for this composition is 0.052 eV/atom. The value obtained for the formation energy from the elements is -0.3151 eV/atom. The total DFT energy (no corrections) is -2.89 eV/atom.

It has space group F-43m (No. 216), with a = 7.6784 Å, b = 7.6784 Å, c = 7.6784 Å, α = 90.00°, β = 90.00° and γ = 90.00°. Symmetry generates all atoms from Ac at (0.0000, 0.0000, 0.0000), Dy at (0.0000, 0.0000, 0.5000), Zn at (0.2500, 0.2500, 0.7500) and Hg at (0.2500, 0.2500, 0.2500).